Record 1
Computed, not measured: a relaxed structure of KHf2BiO6 at the PBE-GGA level of DFT.

a b c (Å): 8.258 8.258 8.258
angles (deg): 90.00 90.00 90.00
Space group Fm-3m (No. 225)
Symmetry-distinct sites (fractional):
K (0.000, 0.000, 0.000) [4 per cell]
Hf (0.250, 0.250, 0.250) [8 per cell]
Bi (0.000, 0.000, 0.500) [4 per cell]
O (0.000, 0.250, 0.250) [24 per cell]

Computed properties:
Its electronic total energy is -8.009 eV per atom. For the size of the total moment, the calculation gives 0.0 Bohr magnetons per cell. The uncorrected formation energy comes out at -2546 meV per atom.

=====

Record 2
Computed, not measured: a relaxed structure of K2HfBiO6 at the PBE-GGA level of DFT.

a b c (Å): 8.406 8.406 8.406
angles (deg): 90.00 90.00 90.00
Space group Fm-3m (No. 225)
Symmetry-distinct sites (fractional):
K (0.250, 0.250, 0.250) [8 per cell]
Hf (0.000, 0.000, 0.000) [4 per cell]
Bi (0.000, 0.000, 0.500) [4 per cell]
O (0.000, 0.000, 0.247) [24 per cell]

Computed properties:
Its electronic total energy is -6.398 eV per atom. For the size of the total moment, the calculation gives 3.2 Bohr magnetons per cell. The uncorrected formation energy comes out at -1820 meV per atom.

=====

Record 3
Computed, not measured: a relaxed structure of K2HfBi2O6 at the PBE-GGA level of DFT.

a b c (Å): 9.617 6.200 7.147
angles (deg): 90.00 111.22 90.00
Space group C2/m (No. 12)
Symmetry-distinct sites (fractional):
K (0.196, 0.000, 0.115) [4 per cell]
Hf (0.000, 0.000, 0.500) [2 per cell]
Bi (0.090, 0.500, 0.261) [4 per cell]
O (0.053, 0.241, 0.728) [8 per cell]
O (0.213, 0.000, 0.487) [4 per cell]

Computed properties:
Its electronic total energy is -6.342 eV per atom. For the size of the total moment, the calculation gives 0.0 Bohr magnetons per cell. The uncorrected formation energy comes out at -1827 meV per atom.

=====

Record 4
Computed, not measured: a relaxed structure of KHfBi2O6 at the PBE-GGA level of DFT.

a b c (Å): 10.600 12.761 7.187
angles (deg): 90.00 115.94 90.00
Space group C2/c (No. 15)
Symmetry-distinct sites (fractional):
K (0.000, 0.102, 0.250) [4 per cell]
Hf (0.000, 0.189, 0.750) [4 per cell]
Bi (0.143, 0.418, 0.168) [8 per cell]
O (0.090, 0.264, 0.013) [8 per cell]
O (0.125, 0.453, 0.462) [8 per cell]
O (0.128, 0.093, 0.704) [8 per cell]

Computed properties:
Its electronic total energy is -6.643 eV per atom. For the size of the total moment, the calculation gives 0.0 Bohr magnetons per cell. The uncorrected formation energy comes out at -1787 meV per atom.

=====

Record 5
Computed, not measured: a relaxed structure of KHfSnBiO6 at the PBE-GGA level of DFT.

a b c (Å): 8.218 8.218 8.218
angles (deg): 90.00 90.00 90.00
Space group F-43m (No. 216)
Symmetry-distinct sites (fractional):
K (0.000, 0.000, 0.000) [4 per cell]
Hf (0.250, 0.250, 0.750) [4 per cell]
Sn (0.250, 0.250, 0.250) [4 per cell]
Bi (0.000, 0.000, 0.500) [4 per cell]
O (0.000, 0.250, 0.250) [24 per cell]

Computed properties:
Its electronic total energy is -6.842 eV per atom. For the size of the total moment, the calculation gives 0.0 Bohr magnetons per cell. The uncorrected formation energy comes out at -1973 meV per atom.

=====

Record 6
Computed, not measured: a relaxed structure of KSrHfBiO6 at the PBE-GGA level of DFT.

a b c (Å): 8.364 8.364 8.364
angles (deg): 90.00 90.00 90.00
Space group F-43m (No. 216)
Symmetry-distinct sites (fractional):
K (0.000, 0.000, 0.000) [4 per cell]
Sr (0.000, 0.000, 0.500) [4 per cell]
Hf (0.250, 0.250, 0.250) [4 per cell]
Bi (0.250, 0.250, 0.750) [4 per cell]
O (0.003, 0.250, 0.250) [24 per cell]

Computed properties:
Its electronic total energy is -6.868 eV per atom. For the size of the total moment, the calculation gives 0.0 Bohr magnetons per cell. The uncorrected formation energy comes out at -2232 meV per atom.